No. 1
Material: NaHf2TaMo
Method: DFT, PBE-GGA
State: relaxed

Summary:
E_tot ... -6.952 eV per atom
Crystal system ... tetragonal
Calculated formation energy ... 1.830 eV/atom
Volume ... 26.7 Å³ per atom
Space-group type ... P4/mmm, No. 123
Energy above the lowest structure with this stoichiometry ... 0.5856 eV per atom

a b c (Å): 5.032 5.032 5.277
angles (deg): 90.00 90.00 90.00
Element x y z (fractional)
Na  0.000  0.000  0.000
Hf  0.000  0.500  0.500
Hf  0.500  0.000  0.500
Ta  0.000  0.000  0.500
Mo  0.500  0.500  0.000


No. 2
Material: NaHf2TaMo
Method: DFT, PBE-GGA
State: relaxed

Summary:
E_tot ... -7.537 eV per atom
Crystal system ... tetragonal
Calculated formation energy ... 1.245 eV/atom
Volume ... 26.3 Å³ per atom
Space-group type ... P4/mmm, No. 123
Energy above the lowest structure with this stoichiometry ... 0.0000 eV per atom

a b c (Å): 5.256 5.256 4.756
angles (deg): 90.00 90.00 90.00
Element x y z (fractional)
Na  0.000  0.000  0.000
Hf  0.000  0.500  0.500
Hf  0.500  0.000  0.500
Ta  0.500  0.500  0.500
Mo  0.500  0.500  0.000


No. 3
Material: NaHfZrMo2
Method: DFT, PBE-GGA
State: relaxed

Summary:
E_tot ... -6.350 eV per atom
Crystal system ... tetragonal
Calculated formation energy ... 1.947 eV/atom
Volume ... 20.7 Å³ per atom
Space-group type ... P4/mmm, No. 123

a b c (Å): 4.743 4.743 4.608
angles (deg): 90.00 90.00 90.00
Element x y z (fractional)
Na  0.000  0.000  0.000
Hf  0.500  0.500  0.500
Zr  0.000  0.000  0.500
Mo  0.000  0.500  0.000
Mo  0.500  0.000  0.000


No. 4
Material: HfNb3Mo
Method: DFT, PBE-GGA
State: relaxed

Summary:
E_tot ... -8.233 eV per atom
Crystal system ... cubic
Calculated formation energy ... 1.966 eV/atom
Volume ... 22.4 Å³ per atom
Space-group type ... Pm-3m, No. 221
Energy above the lowest structure with this stoichiometry ... 0.9210 eV per atom

a b c (Å): 4.821 4.821 4.821
angles (deg): 90.00 90.00 90.00
Element x y z (fractional)
Hf  0.000  0.000  0.000
Nb  0.000  0.000  0.500
Nb  0.000  0.500  0.000
Nb  0.500  0.000  0.000
Mo  0.500  0.500  0.500


No. 5
Material: Hf2NbMo
Method: DFT, PBE-GGA
State: relaxed

Summary:
E_tot ... -10.135 eV per atom
Crystal system ... cubic
Calculated formation energy ... 0.067 eV/atom
Volume ... 19.1 Å³ per atom
Space-group type ... Fm-3m, No. 225
Energy above the lowest structure with this stoichiometry ... 0.0273 eV per atom

a b c (Å): 4.762 4.762 4.762
angles (deg): 60.00 60.00 60.00
Element x y z (fractional)
Hf  0.250  0.250  0.250
Hf  0.750  0.750  0.750
Nb  0.000  0.000  0.000
Mo  0.500  0.500  0.500


No. 6
Material: HfNb4Mo4
Method: DFT, PBE-GGA
State: relaxed

Summary:
E_tot ... -9.983 eV per atom
Crystal system ... tetragonal
Calculated formation energy ... 0.412 eV/atom
Volume ... 19.0 Å³ per atom
Space-group type ... P4_2/nmc, No. 137

a b c (Å): 5.653 5.653 10.693
angles (deg): 90.00 90.00 90.00
Element x y z (fractional)
Hf  0.250  0.750  0.250
Hf  0.750  0.250  0.750
Nb  0.002  0.750  0.518
Nb  0.250  0.502  0.982
Nb  0.250  0.998  0.982
Nb  0.498  0.750  0.518
Nb  0.502  0.250  0.482
Nb  0.750  0.002  0.018
Nb  0.750  0.498  0.018
Nb  0.998  0.250  0.482
Mo  0.026  0.250  0.187
Mo  0.250  0.026  0.687
Mo  0.250  0.474  0.687
Mo  0.474  0.250  0.187
Mo  0.526  0.750  0.813
Mo  0.750  0.526  0.313
Mo  0.750  0.974  0.313
Mo  0.974  0.750  0.813